Computed, not measured: Rb3Hg2Br2F5 after structural relaxation at the PBE-GGA level of DFT.

- ΔE_f (raw): -1832 meV/atom
- SG: No. 139

Unit cell a=4.8090 b=4.8090 c=13.1010 alpha=100.58 beta=100.58 gamma=90.00
With the nearest neighbours (Å) after each atom.
Fractional positions:
Hg 0.5897 0.5897 0.1794  5 F 2.27-2.41
Rb 0.1567 0.1567 0.3134  4 F 3.03
Rb 0.8433 0.8433 0.6866  4 F 3.03
F 0.5837 0.0837 0.1674  2 Hg 2.41
Hg 0.4103 0.4103 0.8206  5 F 2.27-2.41
F 0.0837 0.5837 0.1674  2 Hg 2.41
Br 0.6945 0.6945 0.3889  1 Hg 2.65
F 0.4163 0.9163 0.8326  2 Hg 2.41
F 0.5000 0.5000 0.0000  2 Hg 2.27
F 0.9163 0.4163 0.8326  2 Hg 2.41
Rb 0.0000 0.0000 0.0000  12 F 3.20-3.40
Br 0.3055 0.3055 0.6111  1 Hg 2.65